Entry 1:
Tb2Dy9Y3 | PBE | optimized geometry

V = 455 Å³/cell
magnetic moment = 0.0 μB/cell
formation enthalpy at 0 K = 1.65 eV per formula unit
density of states at the Fermi level = 1.553 states/eV/atom

Cell lengths 6.2250, 10.5031, 13.5741 Å; angles 40.15, 54.79, 55.77 degrees
Last column: nearest neighbours and their distance in Å.
Positions (direct):
Tb: 0.4180 0.3322 0.7000  8 Dy 3.36-3.67, 1 Tb 3.37, 2 Y 3.44-3.48
Tb: 0.5820 0.6678 0.3000  8 Dy 3.36-3.67, 1 Tb 3.37, 2 Y 3.44-3.48
Dy: 0.0000 0.5000 0.5000  4 Tb 3.48-3.59, 4 Dy 3.54-3.58, 2 Y 3.71
Dy: 0.4025 0.9912 0.6968  3 Y 3.37-3.56, 7 Dy 3.46-3.75, 1 Tb 3.67
Dy: 0.5975 0.0088 0.3032  3 Y 3.37-3.56, 7 Dy 3.46-3.75, 1 Tb 3.67
Dy: 0.7387 0.8394 0.9161  3 Dy 3.18-3.47, 1 Tb 3.36, 1 Y 3.54
Dy: 0.2613 0.1606 0.0839  3 Dy 3.18-3.47, 1 Tb 3.36, 1 Y 3.54
Dy: 0.0122 0.8380 0.4952  7 Dy 3.40-3.54, 2 Tb 3.47-3.57, 3 Y 3.54-3.80
Dy: 0.9878 0.1620 0.5048  7 Dy 3.40-3.54, 2 Tb 3.47-3.57, 3 Y 3.54-3.80
Dy: 0.8089 0.4878 0.8987  4 Dy 3.18-3.56, 2 Y 3.41-3.47, 1 Tb 3.51
Dy: 0.1911 0.5122 0.1013  4 Dy 3.18-3.56, 2 Y 3.41-3.47, 1 Tb 3.51
Y: 0.0000 0.0000 0.0000  6 Dy 3.41-3.72, 2 Tb 3.44
Y: 0.6242 0.3490 0.2741  10 Dy 3.37-3.71, 1 Tb 3.48
Y: 0.3758 0.6510 0.7259  10 Dy 3.37-3.71, 1 Tb 3.48

=====

Entry 2:
TbDyY | PBE | optimized geometry

V = 95 Å³/cell
E above lowest polymorph = 1.7 meV per atom
magnetic moment = 0.0 μB/cell
formation enthalpy at 0 K = 0.07 eV per formula unit
density of states at the Fermi level = 1.509 states/eV/atom

Cell lengths 3.5604, 3.5604, 8.6932 Å; angles 90.00, 90.00, 120.00 degrees
Last column: nearest neighbours and their distance in Å.
Positions (direct):
Y: 0.0000 0.0000 0.0005  3 Dy 3.55, 6 Y 3.56, 3 Tb 3.56
Tb: 0.3333 0.6667 0.6657  3 Dy 3.54, 6 Tb 3.56, 3 Y 3.56
Dy: 0.6667 0.3333 0.3338  3 Tb 3.54, 3 Y 3.55, 6 Dy 3.56